# 1
The following is a DFT calculation (GGA-PBE) of Sm2Mg16Sn after structural relaxation.

a = 7.7901 Å, b = 7.7901 Å, c = 7.7901 Å
α = 82.42°, β = 82.42°, γ = 82.42°
Element x y z (fractional)
1 Mg 0.8417 0.3479 0.3479
2 Mg 0.3113 0.0017 0.6897
3 Mg 0.0021 0.4975 0.0021
4 Mg 0.3479 0.8417 0.3479
5 Mg 0.1707 0.6482 0.6482
6 Mg 0.0017 0.6897 0.3113
7 Mg 0.3479 0.3479 0.8417
8 Mg 0.3113 0.6897 0.0017
9 Mg 0.6482 0.6482 0.1707
10 Mg 0.6482 0.1707 0.6482
11 Mg 0.6897 0.0017 0.3113
12 Mg 0.0915 0.0915 0.0915
13 Mg 0.0021 0.0021 0.4975
14 Mg 0.4975 0.0021 0.0021
15 Mg 0.0017 0.3113 0.6897
16 Mg 0.6897 0.3113 0.0017
17 Sn 0.8964 0.8964 0.8964
18 Sm 0.3253 0.3253 0.3253
19 Sm 0.6752 0.6752 0.6752

E = -2.12 eV/atom
Density = 2.91 g/cm3

=====

# 2
The following is a DFT calculation (GGA-PBE) of BaLi5Zn2 after structural relaxation.

a = 4.3048 Å, b = 7.0991 Å, c = 7.0991 Å
α = 72.55°, β = 72.35°, γ = 72.35°
Element x y z (fractional)
1 Li 0.0000 0.5000 0.5000
2 Li 0.6640 0.5169 0.1551
3 Li 0.3360 0.8449 0.4831
4 Li 0.6640 0.1551 0.5169
5 Li 0.3360 0.4831 0.8449
6 Zn 0.2504 0.2496 0.2496
7 Zn 0.7496 0.7504 0.7504
8 Ba 0.0000 0.0000 0.0000

E = -1.81 eV/atom
Density = 2.62 g/cm3

=====

Which of these has the highest E? BaLi5Zn2

=====

What is the density in the second record? 2.62 g/cm3

=====

What is the density in the second record? 2.62 g/cm3